Entry 1:
# BeZnW (PBE, optimized geometry)
data_BeZnW
_symmetry_space_group_name_H-M 'P 1'
_symmetry_Int_Tables_number 1
_symmetry_space_group_name_Hall 'P 1'
_cell_length_a 2.738
_cell_length_b 2.738
_cell_length_c 6.379
_cell_angle_alpha 90.00
_cell_angle_beta 90.00
_cell_angle_gamma 120.00
loop_
_atom_site_label
_atom_site_type_symbol
_atom_site_fract_x
_atom_site_fract_y
_atom_site_fract_z
_atom_site_occupancy
Be1 Be 0.000 0.000 0.000 1
Zn1 Zn 0.667 0.333 0.684 1
W1 W 0.333 0.667 0.317 1
# **Space-group type**: P3m1

---

Entry 2:
# BeZn2W (PBE, optimized geometry)
data_BeZn2W
_symmetry_space_group_name_H-M 'P 1'
_symmetry_Int_Tables_number 1
_symmetry_space_group_name_Hall 'P 1'
_cell_length_a 5.144
_cell_length_b 5.144
_cell_length_c 4.288
_cell_angle_alpha 65.35
_cell_angle_beta 65.35
_cell_angle_gamma 30.72
loop_
_atom_site_label
_atom_site_type_symbol
_atom_site_fract_x
_atom_site_fract_y
_atom_site_fract_z
_atom_site_occupancy
Be1 Be 0.750 0.750 0.750 1
Zn1 Zn 0.027 0.027 0.973 1
Zn2 Zn 0.473 0.473 0.527 1
W1 W 0.250 0.250 0.250 1
# **Space-group type**: Immm

---

Entry 3:
# BeZn2W (PBE, optimized geometry)
data_BeZn2W
_symmetry_space_group_name_H-M 'P 1'
_symmetry_Int_Tables_number 1
_symmetry_space_group_name_Hall 'P 1'
_cell_length_a 3.657
_cell_length_b 3.656
_cell_length_c 3.905
_cell_angle_alpha 90.00
_cell_angle_beta 90.00
_cell_angle_gamma 90.00
loop_
_atom_site_label
_atom_site_type_symbol
_atom_site_fract_x
_atom_site_fract_y
_atom_site_fract_z
_atom_site_occupancy
Be1 Be 0.500 0.000 0.500 1
Zn1 Zn 0.000 0.000 0.000 1
Zn2 Zn 0.500 0.500 0.000 1
W1 W 0.000 0.500 0.500 1
# **Space-group type**: P4/mmm

---

Entry 4:
# BeZnW (PBE, optimized geometry)
data_BeZnW
_symmetry_space_group_name_H-M 'P 1'
_symmetry_Int_Tables_number 1
_symmetry_space_group_name_Hall 'P 1'
_cell_length_a 4.088
_cell_length_b 4.088
_cell_length_c 4.088
_cell_angle_alpha 60.00
_cell_angle_beta 60.00
_cell_angle_gamma 60.00
loop_
_atom_site_label
_atom_site_type_symbol
_atom_site_fract_x
_atom_site_fract_y
_atom_site_fract_z
_atom_site_occupancy
Be1 Be 0.500 0.500 0.500 1
Zn1 Zn 0.000 0.000 0.000 1
W1 W 0.750 0.750 0.750 1
# **Space-group type**: F-43m

---

Entry 5:
# BeZnW2 (PBE, optimized geometry)
data_BeZnW2
_symmetry_space_group_name_H-M 'P 1'
_symmetry_Int_Tables_number 1
_symmetry_space_group_name_Hall 'P 1'
_cell_length_a 5.454
_cell_length_b 4.872
_cell_length_c 2.656
_cell_angle_alpha 84.12
_cell_angle_beta 72.30
_cell_angle_gamma 118.48
loop_
_atom_site_label
_atom_site_type_symbol
_atom_site_fract_x
_atom_site_fract_y
_atom_site_fract_z
_atom_site_occupancy
Be1 Be 0.500 0.500 0.000 1
Zn1 Zn 0.000 0.500 0.500 1
W1 W 0.000 0.000 0.000 1
W2 W 0.500 0.000 0.500 1
# **Space-group type**: C2/m

---

Entry 6:
# BeZnW2 (PBE, optimized geometry)
data_BeZnW2
_symmetry_space_group_name_H-M 'P 1'
_symmetry_Int_Tables_number 1
_symmetry_space_group_name_Hall 'P 1'
_cell_length_a 4.807
_cell_length_b 4.807
_cell_length_c 2.654
_cell_angle_alpha 90.00
_cell_angle_beta 90.00
_cell_angle_gamma 113.31
loop_
_atom_site_label
_atom_site_type_symbol
_atom_site_fract_x
_atom_site_fract_y
_atom_site_fract_z
_atom_site_occupancy
Be1 Be 0.000 0.500 0.500 1
Zn1 Zn 0.500 0.000 0.500 1
W1 W 0.000 0.000 0.000 1
W2 W 0.500 0.500 0.000 1
# **Space-group type**: Cmmm

---

Entry 7:
# BeZn2W (PBE, optimized geometry)
data_BeZn2W
_symmetry_space_group_name_H-M 'P 1'
_symmetry_Int_Tables_number 1
_symmetry_space_group_name_Hall 'P 1'
_cell_length_a 3.840
_cell_length_b 2.729
_cell_length_c 5.332
_cell_angle_alpha 75.12
_cell_angle_beta 90.00
_cell_angle_gamma 90.00
loop_
_atom_site_label
_atom_site_type_symbol
_atom_site_fract_x
_atom_site_fract_y
_atom_site_fract_z
_atom_site_occupancy
Be1 Be 0.000 0.296 0.535 1
Zn1 Zn 0.000 0.060 0.004 1
Zn2 Zn 0.500 0.438 0.247 1
W1 W 0.500 0.705 0.715 1
# **Space-group type**: Pm

---

Entry 8:
# BeZnW2 (PBE, optimized geometry)
data_BeZnW2
_symmetry_space_group_name_H-M 'P 1'
_symmetry_Int_Tables_number 1
_symmetry_space_group_name_Hall 'P 1'
_cell_length_a 3.692
_cell_length_b 3.692
_cell_length_c 9.508
_cell_angle_alpha 78.80
_cell_angle_beta 78.80
_cell_angle_gamma 90.00
loop_
_atom_site_label
_atom_site_type_symbol
_atom_site_fract_x
_atom_site_fract_y
_atom_site_fract_z
_atom_site_occupancy
Be1 Be 0.500 0.500 0.000 1
Be2 Be 0.250 0.750 0.500 1
Zn1 Zn 0.000 0.000 0.000 1
Zn2 Zn 0.750 0.250 0.500 1
W1 W 0.617 0.125 0.250 1
W2 W 0.133 0.625 0.250 1
W3 W 0.375 0.383 0.750 1
W4 W 0.875 0.867 0.750 1
# **Space-group type**: I-42d

---

Entry 9:
# BeZnW (PBE, optimized geometry)
data_BeZnW
_symmetry_space_group_name_H-M 'P 1'
_symmetry_Int_Tables_number 1
_symmetry_space_group_name_Hall 'P 1'
_cell_length_a 4.007
_cell_length_b 4.007
_cell_length_c 2.776
_cell_angle_alpha 90.00
_cell_angle_beta 90.00
_cell_angle_gamma 120.00
loop_
_atom_site_label
_atom_site_type_symbol
_atom_site_fract_x
_atom_site_fract_y
_atom_site_fract_z
_atom_site_occupancy
Be1 Be 0.000 0.000 0.834 1
Zn1 Zn 0.667 0.333 0.833 1
W1 W 0.333 0.667 0.333 1
# **Space-group type**: P-6m2

---

Entry 10:
# BeZn2W (PBE, optimized geometry)
data_BeZn2W
_symmetry_space_group_name_H-M 'P 1'
_symmetry_Int_Tables_number 1
_symmetry_space_group_name_Hall 'P 1'
_cell_length_a 4.803
_cell_length_b 4.803
_cell_length_c 2.665
_cell_angle_alpha 90.00
_cell_angle_beta 90.00
_cell_angle_gamma 116.29
loop_
_atom_site_label
_atom_site_type_symbol
_atom_site_fract_x
_atom_site_fract_y
_atom_site_fract_z
_atom_site_occupancy
Be1 Be 0.500 0.000 0.500 1
Zn1 Zn 0.000 0.000 0.000 1
Zn2 Zn 0.500 0.500 0.000 1
W1 W 0.000 0.500 0.500 1
# **Space-group type**: Cmmm

---

Entry 11:
# BeZnW2 (PBE, optimized geometry)
data_BeZnW2
_symmetry_space_group_name_H-M 'P 1'
_symmetry_Int_Tables_number 1
_symmetry_space_group_name_Hall 'P 1'
_cell_length_a 2.697
_cell_length_b 2.697
_cell_length_c 8.053
_cell_angle_alpha 90.00
_cell_angle_beta 90.00
_cell_angle_gamma 106.09
loop_
_atom_site_label
_atom_site_type_symbol
_atom_site_fract_x
_atom_site_fract_y
_atom_site_fract_z
_atom_site_occupancy
Be1 Be 0.500 0.500 0.746 1
Zn1 Zn 0.000 0.000 0.527 1
W1 W 0.000 0.000 0.973 1
W2 W 0.500 0.500 0.254 1
# **Space-group type**: Cmm2

---

Entry 12:
# BeZn2W (PBE, optimized geometry)
data_BeZn2W
_symmetry_space_group_name_H-M 'P 1'
_symmetry_Int_Tables_number 1
_symmetry_space_group_name_Hall 'P 1'
_cell_length_a 5.103
_cell_length_b 4.960
_cell_length_c 2.612
_cell_angle_alpha 82.89
_cell_angle_beta 74.25
_cell_angle_gamma 116.29
loop_
_atom_site_label
_atom_site_type_symbol
_atom_site_fract_x
_atom_site_fract_y
_atom_site_fract_z
_atom_site_occupancy
Be1 Be 0.000 0.500 0.500 1
Zn1 Zn 0.000 0.000 0.000 1
Zn2 Zn 0.500 0.000 0.500 1
W1 W 0.500 0.500 0.000 1
# **Space-group type**: C2/m

---

Entry 13:
# BeZnW2 (PBE, optimized geometry)
data_BeZnW2
_symmetry_space_group_name_H-M 'P 1'
_symmetry_Int_Tables_number 1
_symmetry_space_group_name_Hall 'P 1'
_cell_length_a 8.962
_cell_length_b 8.962
_cell_length_c 8.962
_cell_angle_alpha 17.70
_cell_angle_beta 17.70
_cell_angle_gamma 17.70
loop_
_atom_site_label
_atom_site_type_symbol
_atom_site_fract_x
_atom_site_fract_y
_atom_site_fract_z
_atom_site_occupancy
Be1 Be 0.751 0.751 0.751 1
Zn1 Zn 0.493 0.493 0.493 1
W1 W 0.008 0.008 0.008 1
W2 W 0.248 0.248 0.248 1
# **Space-group type**: R3m

---

Entry 14:
# BeZnW4 (PBE, optimized geometry)
data_BeZnW4
_symmetry_space_group_name_H-M 'P 1'
_symmetry_Int_Tables_number 1
_symmetry_space_group_name_Hall 'P 1'
_cell_length_a 5.251
_cell_length_b 5.251
_cell_length_c 5.251
_cell_angle_alpha 60.00
_cell_angle_beta 60.00
_cell_angle_gamma 60.00
loop_
_atom_site_label
_atom_site_type_symbol
_atom_site_fract_x
_atom_site_fract_y
_atom_site_fract_z
_atom_site_occupancy
Be1 Be 0.000 0.000 0.000 1
Zn1 Zn 0.750 0.750 0.750 1
W1 W 0.875 0.375 0.375 1
W2 W 0.375 0.375 0.875 1
W3 W 0.375 0.875 0.375 1
W4 W 0.375 0.375 0.375 1
# **Space-group type**: F-43m

---

Entry 15:
# ZrBeZn2W (PBE, optimized geometry)
data_ZrBeZn2W
_symmetry_space_group_name_H-M 'P 1'
_symmetry_Int_Tables_number 1
_symmetry_space_group_name_Hall 'P 1'
_cell_length_a 4.145
_cell_length_b 4.679
_cell_length_c 4.145
_cell_angle_alpha 90.00
_cell_angle_beta 90.00
_cell_angle_gamma 90.00
loop_
_atom_site_label
_atom_site_type_symbol
_atom_site_fract_x
_atom_site_fract_y
_atom_site_fract_z
_atom_site_occupancy
Be1 Be 0.000 0.000 0.000 1
Zn1 Zn 0.000 0.000 0.500 1
Zn2 Zn 0.500 0.000 0.000 1
Zr1 Zr 0.000 0.500 0.000 1
W1 W 0.500 0.500 0.500 1
# **Space-group type**: P4/mmm

---

Entry 16:
# ZrBe2ZnW (PBE, optimized geometry)
data_ZrBe2ZnW
_symmetry_space_group_name_H-M 'P 1'
_symmetry_Int_Tables_number 1
_symmetry_space_group_name_Hall 'P 1'
_cell_length_a 4.103
_cell_length_b 4.743
_cell_length_c 4.103
_cell_angle_alpha 90.00
_cell_angle_beta 90.00
_cell_angle_gamma 90.00
loop_
_atom_site_label
_atom_site_type_symbol
_atom_site_fract_x
_atom_site_fract_y
_atom_site_fract_z
_atom_site_occupancy
Be1 Be 0.000 0.000 0.500 1
Be2 Be 0.500 0.000 0.000 1
Zn1 Zn 0.000 0.000 0.000 1
Zr1 Zr 0.500 0.500 0.500 1
W1 W 0.000 0.500 0.000 1
# **Space-group type**: P4/mmm

---

Entry 17:
# ZrBe2W (PBE, optimized geometry)
data_ZrBe2W
_symmetry_space_group_name_H-M 'P 1'
_symmetry_Int_Tables_number 1
_symmetry_space_group_name_Hall 'P 1'
_cell_length_a 5.144
_cell_length_b 5.144
_cell_length_c 5.144
_cell_angle_alpha 147.76
_cell_angle_beta 128.99
_cell_angle_gamma 61.64
loop_
_atom_site_label
_atom_site_type_symbol
_atom_site_fract_x
_atom_site_fract_y
_atom_site_fract_z
_atom_site_occupancy
Be1 Be 0.966 0.966 0.000 1
Be2 Be 0.776 0.276 0.500 1
Zr1 Zr 0.238 0.738 0.500 1
W1 W 0.520 0.520 0.000 1
# **Space-group type**: Imm2

---

Entry 18:
# ZrBe9W2 (PBE, optimized geometry)
data_ZrBe9W2
_symmetry_space_group_name_H-M 'P 1'
_symmetry_Int_Tables_number 1
_symmetry_space_group_name_Hall 'P 1'
_cell_length_a 4.498
_cell_length_b 4.498
_cell_length_c 14.171
_cell_angle_alpha 90.00
_cell_angle_beta 90.00
_cell_angle_gamma 120.00
loop_
_atom_site_label
_atom_site_type_symbol
_atom_site_fract_x
_atom_site_fract_y
_atom_site_fract_z
_atom_site_occupancy
Zr1 Zr 0.333 0.667 0.750 1
Zr2 Zr 0.667 0.333 0.250 1
Be1 Be 0.000 0.000 0.000 1
Be2 Be 0.000 0.000 0.500 1
Be3 Be 0.000 0.000 0.250 1
Be4 Be 0.000 0.000 0.750 1
Be5 Be 0.333 0.667 0.250 1
Be6 Be 0.667 0.333 0.750 1
Be7 Be 0.170 0.339 0.124 1
Be8 Be 0.661 0.830 0.124 1
Be9 Be 0.170 0.830 0.124 1
Be10 Be 0.830 0.661 0.624 1
Be11 Be 0.339 0.170 0.624 1
Be12 Be 0.830 0.170 0.624 1
Be13 Be 0.339 0.170 0.876 1
Be14 Be 0.830 0.661 0.876 1
Be15 Be 0.830 0.170 0.876 1
Be16 Be 0.661 0.830 0.376 1
Be17 Be 0.170 0.339 0.376 1
Be18 Be 0.170 0.830 0.376 1
W1 W 0.333 0.667 0.534 1
W2 W 0.667 0.333 0.034 1
W3 W 0.667 0.333 0.466 1
W4 W 0.333 0.667 0.966 1
# **Space-group type**: P6_3/mmc

---

Entry 19:
# ZrBe2W (PBE, optimized geometry)
data_ZrBe2W
_symmetry_space_group_name_H-M 'P 1'
_symmetry_Int_Tables_number 1
_symmetry_space_group_name_Hall 'P 1'
_cell_length_a 4.505
_cell_length_b 4.505
_cell_length_c 4.505
_cell_angle_alpha 127.67
_cell_angle_beta 127.67
_cell_angle_gamma 77.16
loop_
_atom_site_label
_atom_site_type_symbol
_atom_site_fract_x
_atom_site_fract_y
_atom_site_fract_z
_atom_site_occupancy
Be1 Be 0.000 0.000 0.000 1
Be2 Be 0.500 0.500 0.000 1
Zr1 Zr 0.750 0.250 0.500 1
W1 W 0.250 0.750 0.500 1
# **Space-group type**: I4/mmm

---

Entry 20:
# ZrBe2W (PBE, optimized geometry)
data_ZrBe2W
_symmetry_space_group_name_H-M 'P 1'
_symmetry_Int_Tables_number 1
_symmetry_space_group_name_Hall 'P 1'
_cell_length_a 8.975
_cell_length_b 8.975
_cell_length_c 8.975
_cell_angle_alpha 17.87
_cell_angle_beta 17.87
_cell_angle_gamma 17.87
loop_
_atom_site_label
_atom_site_type_symbol
_atom_site_fract_x
_atom_site_fract_y
_atom_site_fract_z
_atom_site_occupancy
Be1 Be 0.988 0.988 0.988 1
Be2 Be 0.256 0.256 0.256 1
Zr1 Zr 0.744 0.744 0.744 1
W1 W 0.512 0.512 0.512 1
# **Space-group type**: R3m

---

no.,formation enthalpy at 0 K (eV per atom),calculated volume (Å³/cell),E (eV per atom)
1,0.3553,41,-5.63
2,0.2124,52,-4.59
3,0.1299,52,-4.68
4,1.2271,48,-4.76
5,0.3031,56,-7.42
6,0.3219,56,-7.40
7,0.2033,54,-4.60
8,0.7939,125,-6.93
9,0.2856,39,-5.70
10,0.2436,55,-4.56
11,0.1974,56,-7.53
12,0.2403,55,-4.57
13,0.3741,58,-7.35
14,0.9005,102,-8.57
15,0.6579,80,-4.90
16,0.7396,80,-5.31
17,0.1738,56,-7.06
18,-0.2788,248,-5.94
19,0.0852,56,-7.15
20,0.5151,59,-6.72